--- a ---
DFT (GGA-PBE) results for a relaxed structure of BaCd2Re.

The calculation puts the magnetization at 0.2 μB/f.u. The density of states at the Fermi level is 3.80 states/eV/cell. Its calculated volume is 23.4 A^3/atom. The space-group type is C2/m (12).

Cell and atoms, written as POSCAR:
```
BaCd2Re
1.0
3.3285 -4.5792 0.0000
3.3285 4.5792 0.0000
-0.0111 0.0000 3.0653
Ba Cd Re
1 2 1
direct
0.0000 0.0000 0.0000 Ba
0.0000 0.5000 0.5000 Cd
0.5000 0.0000 0.5000 Cd
0.5000 0.5000 0.0000 Re
```


--- b ---
DFT (GGA-PBE) results for a relaxed structure of BaCd2Re.

The calculation puts the magnetization at 1.5 μB/f.u. The density of states at the Fermi level is 10.83 states/eV/cell. Its calculated volume is 32.2 A^3/atom. The space-group type is I-42d (122).

Cell and atoms, written as POSCAR:
```
BaCd2Re
1.0
-2.5861 2.5861 9.6443
2.5861 -2.5861 9.6443
2.5861 2.5861 -9.6443
Ba Cd Re
2 4 2
direct
0.0000 0.0000 0.0000 Ba
0.7500 0.2500 0.5000 Ba
0.2890 0.6250 0.1640 Cd
0.3750 0.5390 0.6640 Cd
0.4610 0.1250 0.8360 Cd
0.8750 0.7110 0.3360 Cd
0.2500 0.7500 0.5000 Re
0.5000 0.5000 0.0000 Re
```


b is preferred energetically. Next in line: 15 meV/atom higher.


--- a ---
DFT (GGA-PBE) results for a relaxed structure of BaCd2Re.

The calculation puts the magnetization at 0.0 μB/f.u. The density of states at the Fermi level is 3.42 states/eV/cell. Its calculated volume is 25.9 A^3/atom. The space-group type is Pm (6).

Cell and atoms, written as POSCAR:
```
BaCd2Re
1.0
3.0415 0.0000 0.0000
0.0000 4.6490 0.0000
-0.5274 0.0000 7.3279
Ba Cd Re
1 2 1
direct
0.0000 0.0000 0.0000 Ba
0.5829 0.5000 0.3246 Cd
0.6117 0.0000 0.5767 Cd
0.1512 0.5000 0.6634 Re
```


--- b ---
DFT (GGA-PBE) results for a relaxed structure of BaCd2Re.

The calculation puts the magnetization at 0.0 μB/f.u. The density of states at the Fermi level is 3.10 states/eV/cell. Its calculated volume is 24.9 A^3/atom. The space-group type is C2/m (12).

Cell and atoms, written as POSCAR:
```
BaCd2Re
1.0
5.0445 -1.5087 0.0000
5.0445 1.5087 0.0000
-0.8575 0.0000 6.5341
Ba Cd Re
1 2 1
direct
0.0000 0.0000 0.0000 Ba
0.2344 0.2344 0.6838 Cd
0.7656 0.7656 0.3162 Cd
0.5000 0.5000 0.5000 Re
```


--- c ---
DFT (GGA-PBE) results for a relaxed structure of BaCd2Re.

The calculation puts the magnetization at 0.5 μB/f.u. The density of states at the Fermi level is 3.09 states/eV/cell. Its calculated volume is 23.9 A^3/atom. The space-group type is P4mm (99).

Cell and atoms, written as POSCAR:
```
BaCd2Re
1.0
3.1347 0.0000 0.0000
0.0000 3.1347 0.0000
0.0000 0.0000 9.7137
Ba Cd Re
1 2 1
direct
0.0000 0.0000 0.0000 Ba
0.0000 0.0000 0.5425 Cd
0.5000 0.5000 0.3073 Cd
0.5000 0.5000 0.7359 Re
```


--- d ---
DFT (GGA-PBE) results for a relaxed structure of BaCd2Re.

The calculation puts the magnetization at 1.5 μB/f.u. The density of states at the Fermi level is 5.36 states/eV/cell. Its calculated volume is 25.4 A^3/atom. The space-group type is Fm-3m (225).

Cell and atoms, written as POSCAR:
```
BaCd2Re
1.0
0.0000 3.7015 3.7015
3.7015 0.0000 3.7015
3.7015 3.7015 0.0000
Ba Cd Re
1 2 1
direct
0.0000 0.0000 0.0000 Ba
0.2500 0.2500 0.2500 Cd
0.7500 0.7500 0.7500 Cd
0.5000 0.5000 0.5000 Re
```


a is preferred energetically. Next in line: 35 meV/atom higher.


--- a ---
DFT (GGA-PBE) results for a relaxed structure of BaCd2Re.

The calculation puts the magnetization at 1.8 μB/f.u. The density of states at the Fermi level is 2.75 states/eV/cell. Its calculated volume is 25.5 A^3/atom. The space-group type is P4/mmm (123).

Cell and atoms, written as POSCAR:
```
BaCd2Re
1.0
4.6112 0.0000 0.0000
0.0000 4.6112 0.0000
0.0000 0.0000 4.7982
Ba Cd Re
1 2 1
direct
0.0000 0.0000 0.0000 Ba
0.0000 0.5000 0.5000 Cd
0.5000 0.0000 0.5000 Cd
0.5000 0.5000 0.0000 Re
```


--- b ---
DFT (GGA-PBE) results for a relaxed structure of BaCd2Re.

The calculation puts the magnetization at 1.6 μB/f.u. The density of states at the Fermi level is 4.39 states/eV/cell. Its calculated volume is 24.9 A^3/atom. The space-group type is I4/mmm (139).

Cell and atoms, written as POSCAR:
```
BaCd2Re
1.0
-2.3464 2.3464 4.5193
2.3464 -2.3464 4.5193
2.3464 2.3464 -4.5193
Ba Cd Re
1 2 1
direct
0.0000 0.0000 0.0000 Ba
0.2500 0.7500 0.5000 Cd
0.7500 0.2500 0.5000 Cd
0.5000 0.5000 0.0000 Re
```


b is preferred energetically. Next in line: 88 meV/atom higher.


--- a ---
DFT (GGA-PBE) results for a relaxed structure of BaCdRe3.

The calculation puts the magnetization at 4.1 μB/f.u. The density of states at the Fermi level is 7.20 states/eV/cell. Its calculated volume is 25.8 A^3/atom. The space-group type is Pm-3m (221).

Cell and atoms, written as POSCAR:
```
BaCdRe3
1.0
5.0541 0.0000 0.0000
0.0000 5.0541 0.0000
0.0000 0.0000 5.0541
Ba Cd Re
1 1 3
direct
0.0000 0.0000 0.0000 Ba
0.5000 0.5000 0.5000 Cd
0.0000 0.0000 0.5000 Re
0.0000 0.5000 0.0000 Re
0.5000 0.0000 0.0000 Re
```


--- b ---
DFT (GGA-PBE) results for a relaxed structure of BaCdRe3.

The calculation puts the magnetization at 5.1 μB/f.u. The density of states at the Fermi level is 11.32 states/eV/cell. Its calculated volume is 25.8 A^3/atom. The space-group type is Pm-3m (221).

Cell and atoms, written as POSCAR:
```
BaCdRe3
1.0
5.0559 0.0000 0.0000
0.0000 5.0559 0.0000
0.0000 0.0000 5.0559
Ba Cd Re
1 1 3
direct
0.0000 0.0000 0.0000 Ba
0.5000 0.5000 0.5000 Cd
0.0000 0.5000 0.5000 Re
0.5000 0.0000 0.5000 Re
0.5000 0.5000 0.0000 Re
```


b is preferred energetically. Next in line: 1047 meV/atom higher.


--- a ---
DFT (GGA-PBE) results for a relaxed structure of Ba2Cd2Re.

The calculation puts the magnetization at 1.3 μB/f.u. The density of states at the Fermi level is 11.39 states/eV/cell. Its calculated volume is 31.1 A^3/atom. The space-group type is P4/mbm (127).

Cell and atoms, written as POSCAR:
```
Ba2Cd2Re
1.0
7.5081 0.0000 0.0000
0.0000 7.5081 0.0000
0.0000 0.0000 5.5234
Ba Cd Re
4 4 2
direct
0.1846 0.3154 0.0000 Ba
0.3154 0.8154 0.0000 Ba
0.6846 0.1846 0.0000 Ba
0.8154 0.6846 0.0000 Ba
0.1422 0.6422 0.5000 Cd
0.3578 0.1422 0.5000 Cd
0.6422 0.8578 0.5000 Cd
0.8578 0.3578 0.5000 Cd
0.0000 0.0000 0.5000 Re
0.5000 0.5000 0.5000 Re
```


--- b ---
DFT (GGA-PBE) results for a relaxed structure of Ba2Cd2Re.

The calculation puts the magnetization at 2.3 μB/f.u. The density of states at the Fermi level is 7.47 states/eV/cell. Its calculated volume is 36.2 A^3/atom. The space-group type is I4/mmm (139).

Cell and atoms, written as POSCAR:
```
Ba2Cd2Re
1.0
-3.3132 3.3132 4.1184
3.3132 -3.3132 4.1184
3.3132 3.3132 -4.1184
Ba Cd Re
2 2 1
direct
0.2500 0.7500 0.5000 Ba
0.7500 0.2500 0.5000 Ba
0.1673 0.1673 0.0000 Cd
0.8327 0.8327 0.0000 Cd
0.5000 0.5000 0.0000 Re
```


a is preferred energetically. Next in line: 156 meV/atom higher.


--- a ---
DFT (GGA-PBE) results for a relaxed structure of BaCd3Rh.

The calculation puts the magnetization at 0.0 μB/f.u. The density of states at the Fermi level is 8.17 states/eV/cell. Its calculated volume is 25.8 A^3/atom. The space-group type is P2_1/c (14).

Cell and atoms, written as POSCAR:
```
BaCd3Rh
1.0
9.3627 0.0000 0.0000
0.0000 5.6633 0.0000
-7.1980 0.0000 9.7416
Ba Cd Rh
4 12 4
direct
0.1987 0.1715 0.1324 Ba
0.1987 0.3285 0.6324 Ba
0.8013 0.6715 0.3676 Ba
0.8013 0.8285 0.8676 Ba
0.0234 0.6387 0.2193 Cd
0.0234 0.8613 0.7193 Cd
0.3649 0.6414 0.0224 Cd
0.3649 0.8586 0.5224 Cd
0.4017 0.6666 0.3047 Cd
0.4017 0.8334 0.8047 Cd
0.5983 0.1666 0.1953 Cd
0.5983 0.3334 0.6953 Cd
0.6351 0.1414 0.4776 Cd
0.6351 0.3586 0.9776 Cd
0.9766 0.1387 0.2807 Cd
0.9766 0.3613 0.7807 Cd
0.3022 0.1380 0.9279 Rh
0.3022 0.3620 0.4279 Rh
0.6978 0.6380 0.5721 Rh
0.6978 0.8620 0.0721 Rh
```


--- b ---
DFT (GGA-PBE) results for a relaxed structure of BaCd3Rh.

The calculation puts the magnetization at 0.0 μB/f.u. The density of states at the Fermi level is 6.78 states/eV/cell. Its calculated volume is 25.6 A^3/atom. The space-group type is P6_3/mmc (194).

Cell and atoms, written as POSCAR:
```
BaCd3Rh
1.0
5.2303 0.0000 0.0000
-2.6152 4.5296 0.0000
0.0000 0.0000 10.8112
Ba Cd Rh
2 6 2
direct
0.3333 0.6667 0.2500 Ba
0.6667 0.3333 0.7500 Ba
0.0000 0.0000 0.2500 Cd
0.0000 0.0000 0.7500 Cd
0.3333 0.6667 0.5653 Cd
0.3333 0.6667 0.9347 Cd
0.6667 0.3333 0.0653 Cd
0.6667 0.3333 0.4347 Cd
0.0000 0.0000 0.0000 Rh
0.0000 0.0000 0.5000 Rh
```


--- c ---
DFT (GGA-PBE) results for a relaxed structure of BaCd3Rh.

The calculation puts the magnetization at 0.0 μB/f.u. The density of states at the Fermi level is 5.92 states/eV/cell. Its calculated volume is 28.5 A^3/atom. The space-group type is P-1 (2).

Cell and atoms, written as POSCAR:
```
BaCd3Rh
1.0
5.6226 0.0000 0.0000
-2.3597 6.8706 0.0000
-0.2459 -0.2227 7.3687
Ba Cd Rh
2 6 2
direct
0.1127 0.2681 0.3150 Ba
0.8873 0.7319 0.6851 Ba
0.1057 0.2728 0.8085 Cd
0.3682 0.6542 0.9751 Cd
0.4647 0.9110 0.3196 Cd
0.5353 0.0890 0.6804 Cd
0.6318 0.3458 0.0249 Cd
0.8943 0.7272 0.1915 Cd
0.2456 0.9907 0.9907 Rh
0.7544 0.0093 0.0093 Rh
```


c is preferred energetically. Next in line: 29 meV/atom higher.